The following is a DFT calculation (GGA-PBEsol) of an optimized crystal structure of CdAg2HgB.

abc: 5.2108 5.2108 4.0730
angles: 90.00 90.00 90.00
With the nearest neighbours (Å) after each atom.
Space group P4/mmm (No. 123)
Symmetry-distinct sites (fractional):
Cd (0.0000, 0.0000, 0.0000) x1  8 Ag 3.31, 4 B 3.68
Ag (0.0000, 0.5000, 0.5000) x2  2 Hg 2.61
Hg (0.5000, 0.5000, 0.5000) x1  2 B 2.04
B (0.5000, 0.5000, 0.0000) x1  2 Hg 2.04

Summary:
* formation enthalpy at 0 K: 0.9717 eV/atom
* final energy: -2.11 eV/atom